Record 1
Material: Sr3GaH2
Method: DFT, PBE-GGA
State: relaxed

Values from the calculation:
DOS at the Fermi energy   9.6 states/eV per cell
Electronic total energy   -33.993 eV for the cell shown

Cell: 5.3375 7.9831 7.9831 Å, 105.99 90.00 90.00°
Last column: nearest neighbours and their distance in Å.
Sites, in units of the cell vectors:
Sr 0.7500 0.1062 0.8938  4 H 2.43
Sr 0.7500 0.1803 0.4162  2 H 2.42
Sr 0.2500 0.4162 0.1803  2 H 2.42
Sr 0.7500 0.5838 0.8197  2 H 2.42
Sr 0.2500 0.8197 0.5838  2 H 2.42
Sr 0.2500 0.8938 0.1062  4 H 2.43
Ga 0.2500 0.2901 0.7099  8 Sr 3.50-3.61
Ga 0.7500 0.7099 0.2901  8 Sr 3.50-3.61
H 0.0000 0.1579 0.1579  4 Sr 2.42-2.43, 2 H 2.67
H 0.5000 0.1579 0.1579  4 Sr 2.42-2.43, 2 H 2.67
H 0.0000 0.8421 0.8421  4 Sr 2.42-2.43, 2 H 2.67
H 0.5000 0.8421 0.8421  4 Sr 2.42-2.43, 2 H 2.67

---

Record 2
Material: SrGaH4
Method: DFT, PBE-GGA
State: relaxed

Values from the calculation:
DOS at the Fermi energy   3.1 states/eV per cell
Relative energy among the computed polymorphs   13 meV/atom
Electronic total energy   -76.299 eV for the cell shown

Cell: 6.6670 6.7781 6.7552 Å, 90.00 90.00 106.31°
Last column: nearest neighbours and their distance in Å.
Sites, in units of the cell vectors:
Sr 0.4008 0.2088 0.8421  9 H 2.45-2.65
Sr 0.0992 0.2912 0.3421  9 H 2.45-2.65
Sr 0.9008 0.7088 0.6579  9 H 2.45-2.65
Sr 0.5992 0.7912 0.1579  9 H 2.45-2.65
Ga 0.8906 0.2148 0.7970  4 H 1.67-1.84
Ga 0.6094 0.2852 0.2970  4 H 1.67-1.84
Ga 0.3906 0.7148 0.7030  4 H 1.67-1.84
Ga 0.1094 0.7852 0.2030  4 H 1.67-1.84
H 0.6885 0.0073 0.8460  1 Ga 1.69
H 0.0602 0.0962 0.6526  1 Ga 1.84
H 0.7238 0.1059 0.3848  1 Ga 1.71
H 0.4482 0.2782 0.4874  1 Ga 1.67
H 0.7762 0.3941 0.8848  1 Ga 1.71
H 0.0518 0.2218 0.9874  1 Ga 1.67
H 0.4398 0.4038 0.1526  1 Ga 1.84
H 0.8115 0.4927 0.3460  1 Ga 1.69
H 0.1885 0.5073 0.6540  1 Ga 1.69
H 0.5602 0.5962 0.8474  1 Ga 1.84
H 0.9482 0.7782 0.0126  1 Ga 1.67
H 0.2238 0.6059 0.1152  1 Ga 1.71
H 0.5518 0.7218 0.5126  1 Ga 1.67
H 0.2762 0.8941 0.6152  1 Ga 1.71
H 0.9398 0.9038 0.3474  1 Ga 1.84
H 0.3115 0.9927 0.1540  1 Ga 1.69

---

Record 3
Material: Sr4GaH
Method: DFT, PBE-GGA
State: relaxed

Values from the calculation:
DOS at the Fermi energy   9.2 states/eV per cell
Electronic total energy   -28.847 eV for the cell shown

Cell: 6.4548 6.4548 10.7420 Å, 90.00 90.00 95.83°
Last column: nearest neighbours and their distance in Å.
Sites, in units of the cell vectors:
Sr 0.7616 0.1562 0.2500  1 H 2.48
Sr 0.2384 0.8438 0.7500  1 H 2.48
Sr 0.1562 0.7616 0.2500  1 H 2.48
Sr 0.8438 0.2384 0.7500  1 H 2.48
Sr 0.7201 0.7201 0.5384  1 H 2.56
Sr 0.2799 0.2799 0.0384  1 H 2.56
Sr 0.7201 0.7201 0.9616  1 H 2.56
Sr 0.2799 0.2799 0.4616  1 H 2.56
Ga 0.3789 0.3789 0.7500  6 Sr 3.21-3.48
Ga 0.6211 0.6211 0.2500  6 Sr 3.21-3.48
H 0.8555 0.8555 0.7500  4 Sr 2.48-2.56
H 0.1445 0.1445 0.2500  4 Sr 2.48-2.56

---

Record 4
Material: Sr2GaH2
Method: DFT, PBE-GGA
State: relaxed

Values from the calculation:
DOS at the Fermi energy   3.7 states/eV per cell
Relative energy among the computed polymorphs   0 meV/atom
Electronic total energy   -14.321 eV for the cell shown

Cell: 5.2391 5.2391 5.5495 Å, 61.83 61.83 90.00°
Last column: nearest neighbours and their distance in Å.
Sites, in units of the cell vectors:
Sr 0.7500 0.2500 0.5000  4 H 2.62
Sr 0.2500 0.7500 0.5000  4 H 2.62
Ga 0.0000 0.0000 0.0000  2 H 2.14
H 0.2593 0.2593 0.4813  1 Ga 2.14
H 0.7407 0.7407 0.5187  1 Ga 2.14

---

Record 5
Material: Sr2GaH
Method: DFT, PBE-GGA
State: relaxed

Values from the calculation:
DOS at the Fermi energy   1.4 states/eV per cell
Relative energy among the computed polymorphs   0 meV/atom
Electronic total energy   -10.709 eV for the cell shown

Cell: 4.1488 4.1488 7.8682 Å, 74.71 74.71 60.00°
Last column: nearest neighbours and their distance in Å.
Sites, in units of the cell vectors:
Sr 0.2385 0.2385 0.2846  3 H 2.89, 3 Ga 3.21
Sr 0.7615 0.7615 0.7154  3 H 2.89, 3 Ga 3.21
Ga 0.0000 0.0000 0.0000  6 Sr 3.21
H 0.5000 0.5000 0.5000  6 Sr 2.89

---

Record 6
Material: SrGaH
Method: DFT, PBE-GGA
State: relaxed

Values from the calculation:
DOS at the Fermi energy   2.2 states/eV per cell
Relative energy among the computed polymorphs   34 meV/atom
Electronic total energy   -18.769 eV for the cell shown

Cell: 4.2418 4.2418 8.3608 Å, 90.07 104.66 119.93°
Last column: nearest neighbours and their distance in Å.
Sites, in units of the cell vectors:
Sr 0.5189 0.0292 0.5482  4 H 2.46-2.72
Sr 0.1122 0.8248 0.9371  3 H 2.53-2.54
Ga 0.9856 0.2619 0.2475  3 Ga 2.45
Ga 0.6563 0.5977 0.2540  3 Ga 2.45
H 0.2827 0.4121 0.6948  3 Sr 2.72, 3 H 2.77
H 0.7246 0.1315 0.8562  4 Sr 2.46-2.54

---

Record 7
Material: SrGa2H2
Method: DFT, PBE-GGA
State: relaxed

Values from the calculation:
DOS at the Fermi energy   0.2 states/eV per cell
Electronic total energy   -16.562 eV for the cell shown

Cell: 4.4082 4.4082 4.6897 Å, 90.00 90.00 120.00°
Last column: nearest neighbours and their distance in Å.
Sites, in units of the cell vectors:
Sr 0.0000 0.0000 0.0000  6 H 2.59
Ga 0.3333 0.6667 0.4653  1 H 1.70
Ga 0.6667 0.3333 0.5347  1 H 1.70
H 0.3333 0.6667 0.1019  1 Ga 1.70
H 0.6667 0.3333 0.8981  1 Ga 1.70

---

Record 8
Material: Sr2GaH2
Method: DFT, PBE-GGA
State: relaxed

Values from the calculation:
DOS at the Fermi energy   6.8 states/eV per cell
Relative energy among the computed polymorphs   74 meV/atom
Electronic total energy   -27.903 eV for the cell shown

Cell: 7.6624 7.6624 3.3823 Å, 90.00 90.00 90.00°
Last column: nearest neighbours and their distance in Å.
Sites, in units of the cell vectors:
Sr 0.1811 0.6811 0.5000  6 H 2.74-2.90
Sr 0.6811 0.8189 0.5000  6 H 2.74-2.90
Sr 0.8189 0.3189 0.5000  6 H 2.74-2.90
Sr 0.3189 0.1811 0.5000  6 H 2.74-2.90
Ga 0.0000 0.0000 0.0000  4 H 3.05, 8 Sr 3.28, 2 Ga 3.38
Ga 0.5000 0.5000 0.0000  4 H 3.05, 8 Sr 3.28, 2 Ga 3.38
H 0.3797 0.8797 0.0000  1 H 2.61, 6 Sr 2.74-2.90
H 0.8797 0.6203 0.0000  1 H 2.61, 6 Sr 2.74-2.90
H 0.6203 0.1203 0.0000  1 H 2.61, 6 Sr 2.74-2.90
H 0.1203 0.3797 0.0000  1 H 2.61, 6 Sr 2.74-2.90

---

Record 9
Material: Sr2YGaH
Method: DFT, PBE-GGA
State: relaxed

Values from the calculation:
DOS at the Fermi energy   4.1 states/eV per cell
Electronic total energy   -16.877 eV for the cell shown

Cell: 5.0092 5.0092 5.1794 Å, 90.00 90.00 90.00°
Last column: nearest neighbours and their distance in Å.
Sites, in units of the cell vectors:
Y 0.0000 0.0000 0.5000  2 H 2.59
Sr 0.0000 0.5000 0.0000  2 H 2.50
Sr 0.5000 0.0000 0.0000  2 H 2.50
Ga 0.5000 0.5000 0.5000  4 Y 3.54, 8 Sr 3.60
H 0.0000 0.0000 0.0000  4 Sr 2.50, 2 Y 2.59

---

Record 10
Material: Sr2ZnGaH
Method: DFT, PBE-GGA
State: relaxed

Values from the calculation:
DOS at the Fermi energy   2.6 states/eV per cell
Electronic total energy   -12.323 eV for the cell shown

Cell: 5.3034 5.3034 4.1201 Å, 90.00 90.00 90.00°
Last column: nearest neighbours and their distance in Å.
Sites, in units of the cell vectors:
Sr 0.0000 0.5000 0.0000  2 H 2.65
Sr 0.5000 0.0000 0.0000  2 H 2.65
Zn 0.0000 0.0000 0.5000  2 H 2.06
Ga 0.5000 0.5000 0.5000  8 Sr 3.36, 4 Zn 3.75
H 0.0000 0.0000 0.0000  2 Zn 2.06

---

Record 11
Material: SrZrGaH2
Method: DFT, PBE-GGA
State: relaxed

Values from the calculation:
DOS at the Fermi energy   2.9 states/eV per cell
Electronic total energy   -20.295 eV for the cell shown

Cell: 4.2521 5.3996 4.2521 Å, 90.00 90.00 90.00°
Last column: nearest neighbours and their distance in Å.
Sites, in units of the cell vectors:
Sr 0.5000 0.5000 0.5000  4 Ga 3.01
Ga 0.0000 0.5000 0.0000  2 Zr 2.70, 4 Sr 3.01
Zr 0.0000 0.0000 0.0000  4 H 2.13
H 0.0000 0.0000 0.5000  2 Zr 2.13
H 0.5000 0.0000 0.0000  2 Zr 2.13

---

Record 12
Material: Ta3GaH2
Method: DFT, PBE-GGA
State: relaxed

Values from the calculation:
DOS at the Fermi energy   4.6 states/eV per cell
Relative energy among the computed polymorphs   54 meV/atom
Electronic total energy   -91.316 eV for the cell shown

Cell: 3.3422 6.9664 7.2843 Å, 104.05 103.26 90.00°
Last column: nearest neighbours and their distance in Å.
Sites, in units of the cell vectors:
Ta 0.2263 0.3134 0.4525  3 H 1.89-1.91
Ta 0.1041 0.6741 0.2082  1 H 1.93
Ta 0.4426 0.6812 0.8852  3 H 1.94-2.02
Ta 0.7737 0.6866 0.5475  3 H 1.89-1.91
Ta 0.5574 0.3188 0.1148  3 H 1.94-2.02
Ta 0.8959 0.3259 0.7918  1 H 1.93
Ga 0.3371 0.0047 0.6742  6 Ta 2.74-3.00, 3 H 2.81-2.88, 2 Ga 2.97
Ga 0.6629 0.9953 0.3258  6 Ta 2.74-3.00, 3 H 2.81-2.88, 2 Ga 2.97
H 0.3020 0.5789 0.6040  4 Ta 1.89-1.94
H 0.6980 0.4211 0.3960  4 Ta 1.89-1.94
H 0.0054 0.8206 0.0108  3 Ta 1.93-2.02
H 0.9946 0.1794 0.9892  3 Ta 1.93-2.02